# 1
Computed, not measured: a relaxed Be2AuSe crystal at the GGA-PBE level of DFT.

The structure in extended XYZ format:
```
4
Lattice="3.212 0.000 0.000 0.000 4.224 0.000 0.000 0.000 4.224" Properties=species:S:1:pos:R:3 pbc="T T T"
Be 0.000 2.112 2.112
Au 1.606 0.000 2.112
Se 1.606 2.112 0.000
Be 0.000 0.000 0.000
```

ρ   8.52 g cm⁻³
Magnetization   0.000 μB/atom
Formation energy (no corrections)   0.335 eV/atom
N(E_F)   0.30 states/eV per atom

=====

# 2
Computed, not measured: a relaxed RbBa3Ac2Se6 crystal at the GGA-PBE level of DFT.

The structure in extended XYZ format:
```
12
Lattice="4.634 0.000 0.000 0.000 9.352 0.392 -2.317 -2.640 9.734" Properties=species:S:1:pos:R:3 pbc="T T T"
Se 2.317 4.473 3.561
Ac 2.317 4.479 6.763
Ba 2.317 -0.265 6.667
Se 2.317 0.059 3.416
Se 2.317 4.280 9.835
Ba 2.317 4.676 0.196
Rb 2.317 0.000 0.000
Se 0.000 2.239 6.565
Ac 0.000 2.232 3.362
Se 0.000 6.653 6.709
Ba 0.000 6.977 3.458
Se 0.000 2.432 0.290
```

ρ   5.55 g cm⁻³
Magnetization   0.000 μB/atom
Formation energy (no corrections)   -1.902 eV/atom
N(E_F)   0.25 states/eV per atom

=====

# 3
Computed, not measured: a relaxed LaAg6Hg6 crystal at the GGA-PBE level of DFT.

The structure in extended XYZ format:
```
13
Lattice="-3.320 -3.583 2.851 3.923 -5.991 2.651 -0.210 1.659 7.450" Properties=species:S:1:pos:R:3 pbc="T T T"
Ag -1.765 -0.962 5.151
Hg 2.500 -3.356 4.304
Ag -0.105 0.830 3.725
Hg 1.213 -0.975 5.797
Ag -0.890 -1.946 7.738
Ag 0.302 -4.787 2.751
Ag 1.283 -5.968 5.214
Hg -0.404 -1.925 2.720
La 0.000 0.000 0.000
Hg -0.911 -3.839 5.334
Ag 1.962 -2.995 1.325
Hg 0.797 -5.989 10.232
Hg 1.304 -4.075 7.618
```

ρ   11.61 g cm⁻³
Magnetization   0.000 μB/atom
N(E_F)   0.45 states/eV per atom
Formation energy from the elements   -112 kJ/mol of formula units

=====

# 4
Computed, not measured: a relaxed BaLa2SBr crystal at the GGA-PBE level of DFT.

The structure in extended XYZ format:
```
5
Lattice="-4.418 -3.096 -0.414 2.847 -4.786 5.415 -2.414 2.929 3.857" Properties=species:S:1:pos:R:3 pbc="T T T"
La -1.207 1.464 1.929
Ba -1.993 -2.477 4.429
Br 1.423 -2.393 2.708
La -2.209 -1.548 -0.207
S 0.000 0.000 0.000
```

ρ   3.85 g cm⁻³
Magnetization   0.000 μB/atom
Formation energy (no corrections)   -0.873 eV/atom
N(E_F)   1.31 states/eV per atom

=====

> What is the magnetization in the first record?

0.000 μB/atom

=====

> magnetization of number 3 (LaAg6Hg6)?

0.000 μB/atom

=====

> What is the ρ in the third record?

11.61 g cm⁻³